No. 1
The following is a DFT calculation (PBE) of CaPm3Sm4Te8 after structural relaxation.

**Space-group type**: R-3m
**E_tot**: -0.1904 Ha/atom
**Formation energy without anion corrections**: -22.65 eV per formula unit

Cell: 8.9229 8.9101 8.9204 Å, 120.02 120.01 90.00°
Element x y z (fractional)
Te: 0.2494 0.2482 0.4988
Te: 0.7506 0.7518 0.5012
Te: 0.7513 0.2501 0.9988
Te: 0.2487 0.7499 0.0012
Te: 0.2487 0.7499 0.4974
Te: 0.7513 0.2501 0.5026
Te: 0.2475 0.2501 0.9988
Te: 0.7525 0.7499 0.0012
Sm: 0.5000 0.0000 0.0000
Sm: 0.0000 0.0000 0.0000
Sm: 0.0000 0.0000 0.5000
Sm: 0.5000 0.0000 0.5000
Pm: 0.0000 0.5000 0.5000
Pm: 0.5000 0.5000 0.5000
Pm: 0.5000 0.5000 0.0000
Ca: 0.0000 0.5000 0.0000

=====

No. 2
The following is a DFT calculation (PBE) of CaPmSm2Te4 after structural relaxation.

**Space-group type**: P2/m
**E_tot**: -0.1852 Ha/atom
**Formation energy without anion corrections**: -11.55 eV per formula unit

Cell: 4.4288 7.7337 7.7535 Å, 71.00 90.00 90.00°
Element x y z (fractional)
Ca: 0.5000 0.5000 0.0000
Te: 0.0000 0.2511 0.2476
Te: 0.5000 0.2502 0.7526
Te: 0.0000 0.7489 0.7524
Te: 0.5000 0.7498 0.2474
Pm: 0.0000 0.5000 0.5000
Sm: 0.0000 0.0000 0.0000
Sm: 0.5000 0.0000 0.5000

=====

No. 3
The following is a DFT calculation (PBE) of Ca3Pm2SmTe6 after structural relaxation.

**Space-group type**: C2/m
**E_tot**: -0.1750 Ha/atom
**Formation energy without anion corrections**: -18.06 eV per formula unit

Cell: 4.4390 9.0309 10.0762 Å, 104.45 102.72 90.00°
Element x y z (fractional)
Te: 0.9994 0.2504 0.9988
Te: 0.3343 0.4145 0.6686
Te: 0.6666 0.0813 0.3333
Te: 0.3334 0.9187 0.6667
Te: 0.6657 0.5855 0.3314
Te: 0.0006 0.7496 0.0012
Ca: 0.5000 0.5000 0.0000
Ca: 0.8329 0.1664 0.6658
Ca: 0.1671 0.8336 0.3342
Pm: 0.8327 0.6655 0.6654
Pm: 0.1673 0.3345 0.3346
Sm: 0.5000 0.0000 0.0000